1.
A PBEsol-optimized structure of LaAlW3. Source: Alexandria, functional meta-GGA SCAN.

Cell and atoms, written as CIF:
```
data_LaAlW3
_chemical_formula_sum 'La1 Al1 W3'
_space_group_name_H-M_alt 'P 1'
_space_group_IT_number 1
_space_group_name_Hall 'P 1'
_cell_length_a 4.6946
_cell_length_b 4.6946
_cell_length_c 4.6946
_cell_angle_alpha 90.00
_cell_angle_beta 90.00
_cell_angle_gamma 90.00
loop_
_atom_site_label
_atom_site_fract_x
_atom_site_fract_y
_atom_site_fract_z
W1 0.0000 0.0000 0.5000
W2 0.0000 0.5000 0.0000
W3 0.5000 0.0000 0.0000
La1 0.5000 0.5000 0.5000
Al1 0.0000 0.0000 0.0000
```

## Properties
**Mass density**: 11514 kg/m³
**Fermi-level density of states**: 5.59 states/eV/f.u.
**E**: -251.7 eV/cell
**Space-group type**: No. 221


2.
A PBEsol-optimized structure of LaAl2W. Source: Alexandria, functional meta-GGA SCAN.

Cell and atoms, written as CIF:
```
data_LaAl2W
_chemical_formula_sum 'La1 Al2 W1'
_space_group_name_H-M_alt 'P 1'
_space_group_IT_number 1
_space_group_name_Hall 'P 1'
_cell_length_a 2.9590
_cell_length_b 2.9590
_cell_length_c 10.2022
_cell_angle_alpha 81.66
_cell_angle_beta 81.66
_cell_angle_gamma 60.00
loop_
_atom_site_label
_atom_site_fract_x
_atom_site_fract_y
_atom_site_fract_z
W1 0.0000 0.0000 0.0000
Al1 0.7380 0.7380 0.7859
Al2 0.2620 0.2620 0.2141
La1 0.5000 0.5000 0.5000
```

## Properties
**Mass density**: 8202 kg/m³
**Fermi-level density of states**: 2.85 states/eV/f.u.
**Energy relative to the lowest polymorph listed for this composition**: 0.000 eV/atom
**Space-group type**: No. 166


3.
A PBEsol-optimized structure of LaAl4W. Source: Alexandria, functional meta-GGA SCAN.

Cell and atoms, written as CIF:
```
data_LaAl4W
_chemical_formula_sum 'La1 Al4 W1'
_space_group_name_H-M_alt 'P 1'
_space_group_IT_number 1
_space_group_name_Hall 'P 1'
_cell_length_a 5.3441
_cell_length_b 5.3441
_cell_length_c 5.3441
_cell_angle_alpha 60.00
_cell_angle_beta 60.00
_cell_angle_gamma 60.00
loop_
_atom_site_label
_atom_site_fract_x
_atom_site_fract_y
_atom_site_fract_z
Al1 0.3744 0.3744 0.8768
Al2 0.3744 0.3744 0.3744
Al3 0.3744 0.8768 0.3744
Al4 0.8768 0.3744 0.3744
W1 0.0000 0.0000 0.0000
La1 0.7500 0.7500 0.7500
```

## Properties
**Mass density**: 6627 kg/m³
**Fermi-level density of states**: 2.57 states/eV/f.u.
**E**: -143.5 eV/cell
**Space-group type**: No. 216


4.
A PBEsol-optimized structure of LaAlW2. Source: Alexandria, functional meta-GGA SCAN.

Cell and atoms, written as CIF:
```
data_LaAlW2
_chemical_formula_sum 'La1 Al1 W2'
_space_group_name_H-M_alt 'P 1'
_space_group_IT_number 1
_space_group_name_Hall 'P 1'
_cell_length_a 2.8486
_cell_length_b 5.4814
_cell_length_c 5.5481
_cell_angle_alpha 117.88
_cell_angle_beta 101.88
_cell_angle_gamma 95.90
loop_
_atom_site_label
_atom_site_fract_x
_atom_site_fract_y
_atom_site_fract_z
Al1 0.5000 0.0000 0.0000
W1 0.5000 0.5000 0.5000
W2 0.0000 0.0000 0.5000
La1 0.0000 0.5000 0.0000
```

## Properties
**Mass density**: 12150 kg/m³
**Fermi-level density of states**: 3.17 states/eV/f.u.
**E**: -187.3 eV/cell
**Space-group type**: No. 12


5.
A PBEsol-optimized structure of LaAlW. Source: Alexandria, functional meta-GGA SCAN.

Cell and atoms, written as CIF:
```
data_LaAlW
_chemical_formula_sum 'La1 Al1 W1'
_space_group_name_H-M_alt 'P 1'
_space_group_IT_number 1
_space_group_name_Hall 'P 1'
_cell_length_a 3.2604
_cell_length_b 3.7264
_cell_length_c 5.8397
_cell_angle_alpha 108.61
_cell_angle_beta 106.21
_cell_angle_gamma 90.00
loop_
_atom_site_label
_atom_site_fract_x
_atom_site_fract_y
_atom_site_fract_z
Al1 0.9569 0.9569 0.9137
La1 0.6701 0.6701 0.3401
W1 0.3731 0.3731 0.7461
```

## Properties
**Mass density**: 9038 kg/m³
**Fermi-level density of states**: 2.06 states/eV/f.u.
**Energy relative to the lowest polymorph listed for this composition**: 0.000 eV/atom
**Space-group type**: No. 44


6.
A PBEsol-optimized structure of LaAlW. Source: Alexandria, functional meta-GGA SCAN.

Cell and atoms, written as CIF:
```
data_LaAlW
_chemical_formula_sum 'La1 Al1 W1'
_space_group_name_H-M_alt 'P 1'
_space_group_IT_number 1
_space_group_name_Hall 'P 1'
_cell_length_a 2.8715
_cell_length_b 2.8715
_cell_length_c 7.5004
_cell_angle_alpha 101.04
_cell_angle_beta 101.04
_cell_angle_gamma 90.00
loop_
_atom_site_label
_atom_site_fract_x
_atom_site_fract_y
_atom_site_fract_z
La1 0.6681 0.6681 0.3361
Al1 0.9819 0.9819 0.9638
W1 0.3501 0.3501 0.7001
```

## Properties
**Mass density**: 9754 kg/m³
**Fermi-level density of states**: 1.90 states/eV/f.u.
**Energy relative to the lowest polymorph listed for this composition**: 0.000 eV/atom
**Space-group type**: No. 107